# 1
Entry from the Alexandria database: a relaxed RbTlIn2Fe crystal (PBE).

**Total DFT energy (no corrections)**: -16.90 eV per cell
**Crystal system**: tetragonal
**V**: 137.8 Å³/cell

Cell: 5.1320 5.1320 5.2311 Å, 90.00 90.00 90.00°
Closest atoms and distances in Å follow each position.
Space group P4/mmm (No. 123)
One atom of each set of equivalent atoms:
Rb: 0.0000 0.0000 0.0000  4 Tl 3.63, 8 In 3.66
Tl: 0.5000 0.5000 0.0000  2 Fe 2.62
In: 0.0000 0.5000 0.5000  2 Fe 2.57
Fe: 0.5000 0.5000 0.5000  4 In 2.57, 2 Tl 2.62

=====

# 2
Entry from the Alexandria database: a relaxed RbVInFe2 crystal (PBE).

**Total DFT energy (no corrections)**: -16.47 eV per cell
**Crystal system**: tetragonal
**V**: 117.9 Å³/cell

Cell: 4.5513 4.5513 5.6896 Å, 90.00 90.00 90.00°
Closest atoms and distances in Å follow each position.
Space group P4/mmm (No. 123)
One atom of each set of equivalent atoms:
Rb: 0.0000 0.0000 0.0000  4 Fe 2.28
V: 0.5000 0.5000 0.5000  4 In 3.22
In: 0.0000 0.0000 0.5000  2 Rb 2.84
Fe: 0.0000 0.5000 0.0000  2 Rb 2.28

=====

# 3
Entry from the Alexandria database: a relaxed In2FeRe crystal (PBE).

**Total DFT energy (no corrections)**: -49.23 eV per cell
**Crystal system**: monoclinic
**V**: 140.6 Å³/cell

Cell: 10.4623 2.9839 4.8308 Å, 90.00 111.25 90.00°
Closest atoms and distances in Å follow each position.
Space group Cm (No. 8)
One atom of each set of equivalent atoms:
In: 0.0000 0.0000 0.0000  4 Re 2.85-2.91, 3 Fe 2.89-2.95, 3 In 2.98-3.06
In: 0.2121 0.0000 0.6337  4 Fe 2.84-2.92, 3 Re 2.88-2.96, 3 In 2.98-3.06
Fe: 0.2596 0.5000 0.1609  2 Re 2.50
Re: 0.4504 0.0000 0.4676  2 Fe 2.50

=====

# 4
Entry from the Alexandria database: a relaxed InFe2Re crystal (PBE).

**Total DFT energy (no corrections)**: -61.14 eV per cell
**Crystal system**: orthorhombic
**V**: 116.1 Å³/cell

Cell: 5.7876 6.8797 2.9152 Å, 90.00 90.00 90.00°
Closest atoms and distances in Å follow each position.
Space group Cmmm (No. 65)
One atom of each set of equivalent atoms:
In: 0.0000 0.0000 0.0000  8 Fe 2.68, 2 Re 2.89, 2 In 2.92
Fe: 0.2500 0.2500 0.5000  4 In 2.68, 4 Re 2.68, 4 Fe 2.89-2.92
Re: 0.0000 0.5000 0.0000  8 Fe 2.68, 2 In 2.89, 2 Re 2.92

=====

# 5
Entry from the Alexandria database: a relaxed InFeRe2 crystal (PBE).

**Total DFT energy (no corrections)**: -68.56 eV per cell
**Crystal system**: orthorhombic
**V**: 123.4 Å³/cell

Cell: 3.2145 4.4738 8.5815 Å, 90.00 90.00 90.00°
Closest atoms and distances in Å follow each position.
Space group Imm2 (No. 44)
One atom of each set of equivalent atoms:
In: 0.0000 0.0000 0.0000  2 Fe 2.68, 8 Re 2.76-2.98
Fe: 0.0000 0.5000 0.2498  6 Re 2.58-2.76, 2 In 2.68
Re: 0.0000 0.0000 0.5139  2 Fe 2.58, 2 Re 2.64, 4 In 2.76
Re: 0.0000 0.5000 0.7705  2 Re 2.64, 4 Fe 2.76, 2 In 2.82

=====

# 6
Entry from the Alexandria database: a relaxed In2FeRe2 crystal (PBE).

**Total DFT energy (no corrections)**: -63.76 eV per cell
**Crystal system**: tetragonal
**V**: 187.6 Å³/cell

Cell: 3.6980 3.6980 13.7205 Å, 90.00 90.00 90.00°
Closest atoms and distances in Å follow each position.
Space group I4/mmm (No. 139)
One atom of each set of equivalent atoms:
In: 0.0000 0.5000 0.2500  4 In 2.61, 4 Re 2.93
Fe: 0.0000 0.0000 0.0000  8 Re 2.86
Re: 0.0000 0.0000 0.4152  1 Re 2.33

=====

# 7
Entry from the Alexandria database: a relaxed InFe2Re crystal (PBE).

**Total DFT energy (no corrections)**: -61.39 eV per cell
**Crystal system**: orthorhombic
**V**: 119.3 Å³/cell

Cell: 3.1960 4.3933 8.4989 Å, 90.00 90.00 90.00°
Closest atoms and distances in Å follow each position.
Space group Cmmm (No. 65)
One atom of each set of equivalent atoms:
In: 0.0000 0.0000 0.0000  4 In 2.72, 4 Fe 2.76
Fe: 0.0000 0.5000 0.2653  2 Re 2.56, 4 Fe 2.72, 2 In 2.76
Re: 0.0000 0.0000 0.5000  4 Fe 2.56, 4 Re 2.72

=====

# 8
Entry from the Alexandria database: a relaxed InFe2Re crystal (PBE).

**Total DFT energy (no corrections)**: -30.61 eV per cell
**Crystal system**: tetragonal
**V**: 58.7 Å³/cell

Cell: 4.2109 4.2109 3.3126 Å, 90.00 90.00 90.00°
Closest atoms and distances in Å follow each position.
Space group P4/mmm (No. 123)
One atom of each set of equivalent atoms:
In: 0.0000 0.0000 0.0000  8 Fe 2.68, 4 Re 2.98
Fe: 0.0000 0.5000 0.5000  4 Re 2.68, 4 In 2.68, 4 Fe 2.98
Re: 0.5000 0.5000 0.0000  8 Fe 2.68, 4 In 2.98

=====

# 9
Entry from the Alexandria database: a relaxed InFeRe2 crystal (PBE).

**Total DFT energy (no corrections)**: -34.38 eV per cell
**Crystal system**: tetragonal
**V**: 61.1 Å³/cell

Cell: 2.8004 2.8004 7.7910 Å, 90.00 90.00 90.00°
Closest atoms and distances in Å follow each position.
Space group P4/mmm (No. 123)
One atom of each set of equivalent atoms:
In: 0.0000 0.0000 0.0000  4 In 2.80, 8 Re 2.98
Fe: 0.0000 0.0000 0.5000  8 Re 2.59, 4 Fe 2.80
Re: 0.5000 0.5000 0.2865  4 Fe 2.59, 4 Re 2.80

=====

# 10
Entry from the Alexandria database: a relaxed In2FeRe crystal (PBE).

**Total DFT energy (no corrections)**: -48.14 eV per cell
**Crystal system**: tetragonal
**V**: 139.1 Å³/cell

Cell: 4.0136 4.0136 8.6361 Å, 90.00 90.00 90.00°
Closest atoms and distances in Å follow each position.
Space group I-4m2 (No. 119)
One atom of each set of equivalent atoms:
In: 0.0000 0.0000 0.0000  4 Fe 2.84, 4 In 2.95, 4 Re 2.95
In: 0.0000 0.5000 0.2500  4 Re 2.84, 4 In 2.95, 4 Fe 2.95
Fe: 0.0000 0.0000 0.5000  8 In 2.84-2.95, 4 Re 2.95
Re: 0.0000 0.5000 0.7500  8 In 2.84-2.95, 4 Fe 2.95

=====

# 11
Entry from the Alexandria database: a relaxed InFe2Re crystal (PBE).

**Total DFT energy (no corrections)**: -30.94 eV per cell
**Crystal system**: orthorhombic
**V**: 58.3 Å³/cell

Cell: 2.8142 3.6404 5.6920 Å, 90.00 90.00 90.00°
Closest atoms and distances in Å follow each position.
Space group Pmmm (No. 47)
One atom of each set of equivalent atoms:
In: 0.0000 0.0000 0.0000  2 In 2.81, 8 Fe 2.84, 2 Re 2.85
Fe: 0.5000 0.5000 0.2923  1 Fe 2.36, 4 Re 2.59
Re: 0.0000 0.0000 0.5000  8 Fe 2.59, 2 Re 2.81, 2 In 2.85

=====

# 12
Entry from the Alexandria database: a relaxed In2FeRe crystal (PBE).

**Total DFT energy (no corrections)**: -94.46 eV per cell
**Crystal system**: cubic
**V**: 275.7 Å³/cell

Cell: 6.5083 6.5083 6.5083 Å, 90.00 90.00 90.00°
Closest atoms and distances in Å follow each position.
Space group F-43m (No. 216)
One atom of each set of equivalent atoms:
In: 0.0000 0.0000 0.0000  4 In 2.82, 4 Re 2.82
In: 0.2500 0.2500 0.2500  4 In 2.82, 4 Fe 2.82
Fe: 0.0000 0.0000 0.5000  4 Re 2.82, 4 In 2.82
Re: 0.2500 0.2500 0.7500  4 In 2.82, 4 Fe 2.82